# 1
## Tm6Ge2PS3 (PBE-GGA)

Data for crystalline Tm6Ge2PS3 at its relaxed geometry.

a b c (Å): 8.8521 8.8521 7.9185
angles (deg): 102.63 102.63 25.92
Atoms (fractional coordinates):
Tm1 0.0017 0.0017 0.2441
Tm2 0.3337 0.3337 0.4183
Tm3 0.3357 0.3357 0.9158
Tm4 0.6643 0.6643 0.0842
Tm5 0.6663 0.6663 0.5817
Tm6 0.9983 0.9983 0.7559
Ge1 0.1666 0.1666 0.3323
Ge2 0.8334 0.8334 0.6677
P1 0.5000 0.5000 0.0000
S1 0.1652 0.1652 0.8341
S2 0.5000 0.5000 0.5000
S3 0.8348 0.8348 0.1659

Summary:
Magnetization = 0.00 μB per formula unit
SG = No. 12
Total DFT energy (no corrections) = -72.7 eV/cell
V = 264.3 Å³/cell
Density of states at the Fermi level = 2.1 states/eV per cell

# 2
## Tm8GeP3S4 (PBE-GGA)

Data for crystalline Tm8GeP3S4 at its relaxed geometry.

a b c (Å): 7.8427 7.8427 7.8427
angles (deg): 60.13 60.13 60.13
Atoms (fractional coordinates):
Tm1 0.2461 0.7486 0.7486
Tm2 0.2469 0.2469 0.2469
Tm3 0.2514 0.2514 0.7539
Tm4 0.2514 0.7539 0.2514
Tm5 0.7486 0.2461 0.7486
Tm6 0.7486 0.7486 0.2461
Tm7 0.7531 0.7531 0.7531
Tm8 0.7539 0.2514 0.2514
Ge1 0.5000 0.5000 0.5000
P1 0.0000 0.0000 0.5000
P2 0.0000 0.5000 0.0000
P3 0.5000 0.0000 0.0000
S1 0.0000 0.0000 0.0000
S2 0.0000 0.5000 0.5000
S3 0.5000 0.0000 0.5000
S4 0.5000 0.5000 0.0000

Summary:
Magnetization = 0.00 μB per formula unit
SG = No. 166
Total DFT energy (no corrections) = -101.0 eV/cell
V = 342.1 Å³/cell
Density of states at the Fermi level = 3.7 states/eV per cell

no.,formation energy (no corrections) (eV/atom)
1,-1.57
2,-1.74